First-principles (PBE) data for Ac7SbSe5 after structural relaxation, as listed in the Alexandria database.

Structure (POSCAR):
```
Ac7SbSe5
1.0
4.476 0.000 0.000
-2.238 7.337 0.011
0.000 -0.031 26.763
Ac Sb Se
14 2 10
Direct
0.478 0.956 0.250
0.523 0.045 0.750
0.638 0.276 0.036
0.364 0.727 0.964
0.363 0.725 0.536
0.637 0.274 0.464
0.189 0.378 0.178
0.813 0.625 0.822
0.811 0.623 0.678
0.188 0.377 0.322
0.907 0.814 0.113
0.095 0.189 0.887
0.093 0.187 0.613
0.906 0.812 0.387
0.807 0.615 0.250
0.193 0.387 0.750
0.001 0.002 0.000
0.727 0.453 0.930
0.275 0.550 0.070
0.549 0.097 0.359
0.451 0.902 0.641
0.000 0.000 0.500
0.274 0.548 0.430
0.726 0.451 0.570
0.452 0.904 0.859
0.549 0.099 0.141
```

## Properties
Space-group type   Cm
Mass density   8.0 Mg/m³
Uncorrected formation energy   -20.8 eV/f.u.
Density of states at the Fermi level   18.25 states/eV/cell

=====

First-principles (PBE) data for Ac4Sb3Se after structural relaxation, as listed in the Alexandria database.

Structure (POSCAR):
```
Ac4Sb3Se
1.0
8.189 0.065 0.000
-2.789 7.680 0.000
0.000 0.000 9.459
Sb Ac Se
6 8 2
Direct
0.750 0.000 0.373
0.250 0.000 0.627
0.750 0.500 0.627
0.750 0.500 0.124
0.250 0.500 0.373
0.250 0.500 0.876
0.998 0.249 0.627
0.501 0.247 0.877
0.498 0.249 0.373
0.001 0.247 0.123
0.999 0.753 0.877
0.502 0.751 0.627
0.499 0.753 0.123
0.002 0.751 0.373
0.750 0.000 0.877
0.250 0.000 0.123
```

## Properties
Space-group type   P2/c
Mass density   7.5 Mg/m³
Uncorrected formation energy   -11.2 eV/f.u.
Density of states at the Fermi level   2.44 states/eV/cell

=====

First-principles (PBE) data for Ac2Sb2Se7 after structural relaxation, as listed in the Alexandria database.

Structure (POSCAR):
```
Ac2Sb2Se7
1.0
6.422 -0.121 -0.175
-0.776 7.627 1.358
-0.776 -1.407 7.618
Ac Sb Se
2 2 7
Direct
0.500 0.268 0.732
0.500 0.732 0.268
0.956 0.241 0.241
0.044 0.759 0.759
0.281 0.922 0.550
0.719 0.450 0.078
0.719 0.078 0.450
0.281 0.550 0.922
0.000 0.000 0.000
0.757 0.563 0.563
0.243 0.437 0.437
```

## Properties
Space-group type   C2/m
Mass density   5.4 Mg/m³
Uncorrected formation energy   -9.6 eV/f.u.
Density of states at the Fermi level   0.44 states/eV/cell

=====

First-principles (PBE) data for Ac5Sb2Se4 after structural relaxation, as listed in the Alexandria database.

Structure (POSCAR):
```
Ac5Sb2Se4
1.0
-3.658 3.175 1.069
-4.662 -1.639 0.426
0.213 -2.781 20.500
Ac Sb Se
5 2 4
Direct
0.772 0.772 0.683
0.634 0.634 0.098
0.500 0.500 0.500
0.366 0.366 0.902
0.228 0.228 0.317
0.136 0.136 0.593
0.864 0.864 0.407
0.687 0.687 0.938
0.585 0.585 0.244
0.415 0.415 0.756
0.313 0.313 0.062
```

## Properties
Space-group type   R-3m
Mass density   6.4 Mg/m³
Uncorrected formation energy   -17.1 eV/f.u.
Density of states at the Fermi level   3.91 states/eV/cell

=====

First-principles (PBE) data for Ac4Sb2Se after structural relaxation, as listed in the Alexandria database.

Structure (POSCAR):
```
Ac4Sb2Se
1.0
5.751 0.000 0.000
0.000 5.751 0.000
-2.875 -2.875 8.603
Sb Ac Se
2 4 1
Direct
0.629 0.629 0.258
0.371 0.371 0.742
0.821 0.821 0.643
0.179 0.179 0.357
0.000 0.500 0.000
0.500 0.000 0.000
0.000 0.000 0.000
```

## Properties
Space-group type   I4/mmm
Mass density   7.2 Mg/m³
Uncorrected formation energy   -5.6 eV/f.u.
Density of states at the Fermi level   8.77 states/eV/cell

=====

First-principles (PBE) data for Ac2SbSe6 after structural relaxation, as listed in the Alexandria database.

Structure (POSCAR):
```
Ac2SbSe6
1.0
6.143 0.000 0.192
0.000 8.212 0.000
-0.548 0.000 10.253
Ac Sb Se
4 2 12
Direct
0.932 0.394 0.740
0.568 0.894 0.760
0.432 0.106 0.240
0.068 0.606 0.260
0.500 0.500 0.000
0.000 0.000 0.500
0.923 0.977 0.242
0.818 0.696 0.530
0.865 0.677 0.966
0.635 0.177 0.534
0.682 0.196 0.970
0.577 0.477 0.258
0.077 0.023 0.758
0.182 0.304 0.470
0.135 0.323 0.034
0.365 0.823 0.466
0.318 0.804 0.030
0.423 0.523 0.742
```

## Properties
Space-group type   P2_1/c
Mass density   6.7 Mg/m³
Uncorrected formation energy   -10.1 eV/f.u.
Density of states at the Fermi level   5.87 states/eV/cell